{"formula": "BSbAs2Se", "functional": "GGA-PBE", "state": "optimized geometry", "lattice_angstrom": [[4.5633, 0.0000, 0.0000], [0.0000, 4.5633, 0.0000], [0.0000, 0.0000, 4.4643]], "species": ["As", "As", "B", "Sb", "Se"], "fractional_positions": [[0.5000, 0.0000, 0.0000], [0.0000, 0.5000, 0.0000], [0.0000, 0.0000, 0.0000], [0.5000, 0.5000, 0.5000], [0.0000, 0.0000, 0.5000]], "spacegroup": "P4/mmm (123)", "raw_formation_energy_ev_per_atom": 0.64, "m_tot_mub_per_atom": 0.000}